--- P ---
Material: Sr2Hg5Au4
Method: DFT, PBE
State: relaxed

Geometry as POSCAR:
```
Sr2Hg5Au4
1.0
5.5698 0.0000 2.6587
2.7849 4.9024 1.3294
-1.2619 0.0000 9.8071
Sr Hg Au
2 5 4
direct
0.8656 0.0000 0.2688
0.1344 0.0000 0.7312
0.5000 0.0000 0.0000
0.0000 0.5000 0.0000
0.5000 0.5000 0.0000
0.2500 0.5000 0.5000
0.7500 0.5000 0.5000
0.4834 0.2988 0.7344
0.5166 0.7012 0.2656
0.2178 0.2988 0.2656
0.7822 0.7012 0.7344
```

Output
Space-group type   Fmmm (69)

---

--- Q ---
Material: Sr2Hg5Au4
Method: DFT, PBE
State: relaxed

Geometry as POSCAR:
```
Sr2Hg5Au4
1.0
-1.0072 1.7448 -5.5533
-6.3119 -2.7275 -2.8543
-4.2914 6.0619 -0.4591
Sr Hg Au
2 5 4
direct
0.2728 0.7272 0.7271
0.7272 0.2728 0.2729
0.2501 0.1829 0.8170
0.7499 0.8171 0.1830
0.0000 0.5000 0.5000
0.7500 0.1829 0.8170
0.2500 0.8171 0.1830
0.2462 0.0932 0.4144
0.7538 0.9068 0.5856
0.7536 0.5858 0.9071
0.2464 0.4142 0.0929
```

Output
Space-group type   Immm (71)

---

What is the most stable structure shown above? It is Q.